Entry 1:
Compound: Ce2GdPd
Source: the Alexandria database
Functional: PBE-GGA
Structure: optimized geometry

Lattice parameters (Å, degrees): 5.2151 5.2151 5.2306 60.10 60.10 60.00
Last column: nearest neighbours and their distance in Å.
Fractional coordinates of all 4 atoms:
Pd  0.5000  0.5000  0.5000  8 Ce 3.19-3.21
Ce  0.2497  0.2497  0.2509  4 Pd 3.19-3.21, 4 Gd 3.20
Gd  0.0000  0.0000  0.0000  8 Ce 3.20
Ce  0.7503  0.7503  0.7491  4 Pd 3.19-3.21, 4 Gd 3.20

**Excess energy over the best structure of this formula in the dataset**: 0.171 eV/atom

=====

Entry 2:
Compound: Nb6SnW
Source: the Alexandria database
Functional: PBE-GGA
Structure: optimized geometry

Lattice parameters (Å, degrees): 7.4658 7.4617 5.2751 45.02 45.01 60.01
Last column: nearest neighbours and their distance in Å.
Fractional coordinates of all 8 atoms:
Nb  0.5002  0.7580  0.7414  2 Nb 2.55-2.72
W  0.0000  0.0000  0.0000  12 Nb 2.93
Nb  0.2417  0.0001  0.2586  2 Nb 2.55-2.73
Nb  0.9999  0.4999  0.7419  2 Nb 2.55-2.73
Nb  0.0001  0.5001  0.2581  2 Nb 2.55-2.73
Sn  0.5000  0.5000  0.5000  12 Nb 2.97
Nb  0.4998  0.2420  0.2586  2 Nb 2.55-2.72
Nb  0.7583  0.9999  0.7414  2 Nb 2.55-2.73

**Excess energy over the best structure of this formula in the dataset**: 0.000 eV/atom